Entry 1:
## Ac5Tl4Rh2 (PBE)

Data for crystalline Ac5Tl4Rh2 at its relaxed geometry.

a = 8.7382 Å, b = 19.4087 Å, c = 4.0252 Å
α = 90.00°, β = 90.00°, γ = 90.00°
Last column: nearest neighbours and their distance in Å.
Atoms (fractional coordinates):
Ac (0.0000, 0.0000, 0.0000)  8 Tl 3.49-3.60, 2 Ac 3.85
Ac (0.1092, 0.4082, 0.0000)  2 Rh 2.99
Ac (0.2410, 0.2207, 0.0000)  4 Rh 3.07-3.34
Ac (0.2590, 0.7207, 0.0000)  4 Rh 3.07-3.34
Ac (0.3908, 0.9082, 0.0000)  2 Rh 2.99
Ac (0.5000, 0.5000, 0.0000)  8 Tl 3.49-3.60, 2 Ac 3.85
Ac (0.6092, 0.0918, 0.0000)  2 Rh 2.99
Ac (0.7410, 0.2793, 0.0000)  4 Rh 3.07-3.34
Ac (0.7590, 0.7793, 0.0000)  4 Rh 3.07-3.34
Ac (0.8908, 0.5918, 0.0000)  2 Rh 2.99
Tl (0.0653, 0.8492, 0.5000)  1 Rh 3.05
Tl (0.2108, 0.5679, 0.5000)  1 Rh 3.08
Tl (0.2892, 0.0679, 0.5000)  1 Rh 3.08
Tl (0.4347, 0.3492, 0.5000)  1 Rh 3.05
Tl (0.5653, 0.6508, 0.5000)  1 Rh 3.05
Tl (0.7108, 0.9321, 0.5000)  1 Rh 3.08
Tl (0.7892, 0.4321, 0.5000)  1 Rh 3.08
Tl (0.9347, 0.1508, 0.5000)  1 Rh 3.05
Rh (0.0005, 0.3052, 0.5000)  6 Ac 2.99-3.34, 2 Tl 3.05-3.08
Rh (0.4995, 0.8052, 0.5000)  6 Ac 2.99-3.34, 2 Tl 3.05-3.08
Rh (0.5005, 0.1948, 0.5000)  6 Ac 2.99-3.34, 2 Tl 3.05-3.08
Rh (0.9995, 0.6948, 0.5000)  6 Ac 2.99-3.34, 2 Tl 3.05-3.08

Summary:
crystal system = orthorhombic
D(E_F) = 0.730 states/eV/atom
ΔE_f = -5.6 eV per formula unit


Entry 2:
## Sm2ErBr8 (PBE)

Data for crystalline Sm2ErBr8 at its relaxed geometry.

a = 10.0037 Å, b = 10.0037 Å, c = 6.8693 Å
α = 97.66°, β = 97.66°, γ = 44.97°
Last column: nearest neighbours and their distance in Å.
Atoms (fractional coordinates):
Sm (0.1469, 0.1469, 0.4471)  4 Br 2.71-2.83
Sm (0.8531, 0.8531, 0.5529)  4 Br 2.71-2.83
Er (0.0000, 0.0000, 0.0000)  6 Br 2.80-2.85
Br (0.1368, 0.1368, 0.8537)  1 Sm 2.83, 1 Er 2.85
Br (0.2056, 0.6842, 0.7327)  1 Sm 2.79, 1 Er 2.80
Br (0.2877, 0.2877, 0.3787)  1 Sm 2.71
Br (0.3158, 0.7944, 0.2673)  1 Sm 2.79, 1 Er 2.80
Br (0.6842, 0.2056, 0.7327)  1 Sm 2.79, 1 Er 2.80
Br (0.7123, 0.7123, 0.6213)  1 Sm 2.71
Br (0.7944, 0.3158, 0.2673)  1 Sm 2.79, 1 Er 2.80
Br (0.8632, 0.8632, 0.1463)  1 Sm 2.83, 1 Er 2.85

Summary:
crystal system = monoclinic
formation energy without anion corrections = -1658 meV/atom
D(E_F) = 0.177 states/eV/atom


Entry 3:
## Rb3SrTh2Te6 (PBE)

Data for crystalline Rb3SrTh2Te6 at its relaxed geometry.

a = 8.0855 Å, b = 8.0855 Å, c = 9.0261 Å
α = 98.61°, β = 98.61°, γ = 119.98°
Last column: nearest neighbours and their distance in Å.
Atoms (fractional coordinates):
Rb (0.0000, 0.0000, 0.0000)  6 Te 3.60-3.73
Rb (0.3379, 0.6621, 0.0000)  6 Te 3.63-3.74
Rb (0.6621, 0.3379, 0.0000)  6 Te 3.63-3.74
Sr (0.5000, 0.5000, 0.5000)  6 Te 3.34-3.35
Th (0.1671, 0.8329, 0.5000)  6 Te 3.18
Th (0.8329, 0.1671, 0.5000)  6 Te 3.18
Te (0.0809, 0.4302, 0.2918)  2 Th 3.18, 1 Sr 3.35
Te (0.2198, 0.2198, 0.7067)  2 Th 3.18, 1 Sr 3.34
Te (0.4302, 0.0809, 0.2918)  2 Th 3.18, 1 Sr 3.35
Te (0.5698, 0.9191, 0.7082)  2 Th 3.18, 1 Sr 3.35
Te (0.7802, 0.7802, 0.2933)  2 Th 3.18, 1 Sr 3.34
Te (0.9191, 0.5698, 0.7082)  2 Th 3.18, 1 Sr 3.35

Summary:
crystal system = monoclinic
formation energy without anion corrections = -1291 meV/atom
D(E_F) = 0.507 states/eV/atom


Entry 4:
## FeRuBr2 (PBE)

Data for crystalline FeRuBr2 at its relaxed geometry.

a = 6.4953 Å, b = 6.4953 Å, c = 6.4953 Å
α = 90.00°, β = 90.00°, γ = 90.00°
Last column: nearest neighbours and their distance in Å.
Atoms (fractional coordinates):
Fe (0.0000, 0.0000, 0.0000)  8 Br 2.81
Fe (0.0000, 0.5000, 0.5000)  8 Br 2.81
Fe (0.5000, 0.0000, 0.5000)  8 Br 2.81
Fe (0.5000, 0.5000, 0.0000)  8 Br 2.81
Ru (0.0000, 0.0000, 0.5000)  8 Br 2.81
Ru (0.0000, 0.5000, 0.0000)  8 Br 2.81
Ru (0.5000, 0.0000, 0.0000)  8 Br 2.81
Ru (0.5000, 0.5000, 0.5000)  8 Br 2.81
Br (0.2500, 0.2500, 0.2500)  4 Ru 2.81, 4 Fe 2.81
Br (0.2500, 0.2500, 0.7500)  4 Fe 2.81, 4 Ru 2.81
Br (0.2500, 0.7500, 0.2500)  4 Fe 2.81, 4 Ru 2.81
Br (0.2500, 0.7500, 0.7500)  4 Fe 2.81, 4 Ru 2.81
Br (0.7500, 0.2500, 0.2500)  4 Fe 2.81, 4 Ru 2.81
Br (0.7500, 0.2500, 0.7500)  4 Fe 2.81, 4 Ru 2.81
Br (0.7500, 0.7500, 0.2500)  4 Fe 2.81, 4 Ru 2.81
Br (0.7500, 0.7500, 0.7500)  4 Fe 2.81, 4 Ru 2.81

Summary:
crystal system = cubic
formation energy without anion corrections = 848 meV/atom
relative energy among the computed polymorphs = 0.703 eV per atom
D(E_F) = 1.164 states/eV/atom


no.,density (g/cm3),final energy (hartree per atom),spin magnetization (μB per cell)
1,10.50,-0.1680,0.0
2,3.82,-0.1524,0.9
3,5.36,-0.1647,0.0
4,7.68,-0.1625,9.3